VASP calculation (PBE) on a geometry-optimized GaReI2 structure.

Calculated values
The value obtained for the uncorrected formation energy is 0.490 eV/atom. As for the density of states at the Fermi level: 0.5309 states/eV/atom. The value obtained for the volume is 29.73 Å³/atom. For the energy relative to the lowest polymorph listed for this composition, the calculation gives 0 meV per atom. The value obtained for the raw total energy is -33.23 eV/cell.

Cell: 9.6936 9.6936 7.3068 Å, 48.45 48.45 90.00°
Positions (direct):
I1 0.3750 0.2314 0.7500
I2 0.9814 0.6250 0.2500
I3 0.8750 0.0186 0.7500
I4 0.7686 0.1250 0.2500
Re1 0.0000 0.0000 0.0000
Re2 0.7500 0.2500 0.5000
Ga1 0.5000 0.5000 0.0000
Ga2 0.2500 0.7500 0.5000